Material: Ca5SmS6
Method: DFT, PBE-GGA
State: relaxed

Structure (CIF):
```
data_Ca5SmS6
_chemical_formula_sum 'Ca10 Sm2 S12'
_symmetry_space_group_name_H-M 'C 1 2/m 1'
_symmetry_Int_Tables_number 12
_cell_length_a 6.978
_cell_length_b 12.084
_cell_length_c 6.980
_cell_angle_alpha 90.00
_cell_angle_beta 109.47
_cell_angle_gamma 90.00
loop_
_symmetry_equiv_pos_as_xyz
'x,y,z'
'-x,-y,-z'
'-x,y,-z'
'x,-y,z'
'x+1/2,y+1/2,z'
'-x+1/2,-y+1/2,-z'
'-x+1/2,y+1/2,-z'
'x+1/2,-y+1/2,z'
loop_
_atom_site_label
_atom_site_type_symbol
_atom_site_fract_x
_atom_site_fract_y
_atom_site_fract_z
Ca1 Ca 0.000 0.000 0.000
Ca2 Ca 0.000 0.167 0.500
Ca3 Ca 0.000 0.333 0.000
Sm1 Sm 0.000 0.500 0.500
S1 S 0.248 0.500 0.251
S2 S 0.249 0.334 0.749
```

***

Material: CaSm2S4
Method: DFT, PBE-GGA
State: relaxed

Output
excess energy over the best structure of this formula in the dataset = 31.5 meV/atom

Structure (CIF):
```
data_CaSm2S4
_chemical_formula_sum 'Ca4 Sm8 S16'
_symmetry_space_group_name_H-M 'C m c m'
_symmetry_Int_Tables_number 63
_symmetry_space_group_name_Hall '-C 2c 2'
_cell_length_a 3.975
_cell_length_b 13.197
_cell_length_c 13.504
_cell_angle_alpha 90.00
_cell_angle_beta 90.00
_cell_angle_gamma 90.00
loop_
_atom_site_label
_atom_site_type_symbol
_atom_site_fract_x
_atom_site_fract_y
_atom_site_fract_z
Ca1 Ca 0.000 0.114 0.250
Sm1 Sm 0.000 0.366 0.073
S1 S 0.000 0.000 0.000
S2 S 0.000 0.273 0.619
S3 S 0.000 0.467 0.250
```

***

Material: CaTbSm2S4
Method: DFT, PBE-GGA
State: relaxed

Structure (CIF):
```
data_CaTbSm2S4
_chemical_formula_sum 'Ca1 Tb1 Sm2 S4'
_symmetry_space_group_name_H-M 'P 1 2/m 1'
_symmetry_Int_Tables_number 10
_cell_length_a 6.902
_cell_length_b 3.968
_cell_length_c 6.932
_cell_angle_alpha 90.00
_cell_angle_beta 109.12
_cell_angle_gamma 90.00
loop_
_symmetry_equiv_pos_as_xyz
'x,y,z'
'-x,-y,-z'
'-x,y,-z'
'x,-y,z'
loop_
_atom_site_label
_atom_site_type_symbol
_atom_site_fract_x
_atom_site_fract_y
_atom_site_fract_z
Ca1 Ca 0.000 0.000 0.000
Tb1 Tb 0.500 0.500 0.000
Sm1 Sm 0.000 0.500 0.500
Sm2 Sm 0.500 0.000 0.500
S1 S 0.250 0.500 0.244
S2 S 0.253 0.000 0.757
```

***

no.,M_tot (μB/f.u.),total energy (eV per cell),E_form (uncorrected) (eV per atom)
1,0.0,-129.687,-2.1127
2,0.0,-169.167,-2.0489
3,0.0,-48.880,-2.0375